[1]
Compound: Na3AlBi3S8
Source: Alexandria
Functional: PBE
Structure: optimized geometry

Cell lengths 7.850, 7.850, 8.292 Å; angles 118.33, 118.33, 59.88 degrees
Fractional positions:
Na 0.000 0.000 0.000
Na 0.000 0.500 0.000
Na 0.500 0.000 0.000
Al 0.000 0.000 0.500
Bi 0.000 0.500 0.500
Bi 0.500 0.000 0.500
Bi 0.500 0.500 0.500
S 0.217 0.217 0.711
S 0.217 0.777 0.710
S 0.223 0.783 0.290
S 0.254 0.254 0.261
S 0.746 0.746 0.739
S 0.777 0.217 0.710
S 0.783 0.223 0.290
S 0.783 0.783 0.289

Calculated values
The symmetry is C2/m. Its total energy is -4.207 eV per atom.

[2]
Compound: UAgPt4
Source: Alexandria
Functional: PBE
Structure: optimized geometry

Cell lengths 5.346, 5.346, 5.346 Å; angles 60.00, 60.00, 60.00 degrees
Fractional positions:
U 0.000 0.000 0.000
Ag 0.750 0.750 0.750
Pt 0.376 0.376 0.376
Pt 0.376 0.376 0.873
Pt 0.376 0.873 0.376
Pt 0.873 0.376 0.376

Calculated values
The symmetry is F-43m. Its total energy is -6.925 eV per atom. Its formation energy is -3.25 eV per formula unit.

[3]
Compound: Hg2IrRu
Source: Alexandria
Functional: PBE
Structure: optimized geometry

Cell lengths 4.988, 4.988, 4.988 Å; angles 130.72, 130.72, 72.26 degrees
Fractional positions:
Hg 0.000 0.000 0.000
Hg 0.750 0.250 0.500
Ir 0.250 0.750 0.500
Ru 0.500 0.500 0.000

Calculated values
The symmetry is I-4m2. Its total energy is -4.013 eV per atom. The relative energy among the computed polymorphs is 35.2 kJ per mole of atoms. Its formation energy is 2.69 eV per formula unit.

[4]
Compound: Na3HgF7
Source: Alexandria
Functional: PBE
Structure: optimized geometry

Cell lengths 5.772, 5.772, 6.165 Å; angles 116.54, 116.54, 89.80 degrees
Fractional positions:
Na 0.000 0.000 0.000
Na 0.261 0.729 0.555
Na 0.729 0.261 0.555
Hg 0.556 0.556 0.116
F 0.149 0.553 0.789
F 0.346 0.895 0.298
F 0.381 0.381 0.262
F 0.553 0.149 0.789
F 0.680 0.680 0.902
F 0.895 0.346 0.298
F 0.897 0.897 0.543

Calculated values
The symmetry is Cm. Its total energy is -3.470 eV per atom.

[5]
Compound: LaPm12Si4
Source: Alexandria
Functional: PBE
Structure: optimized geometry

Cell lengths 9.114, 9.114, 9.114 Å; angles 109.47, 109.47, 109.47 degrees
Fractional positions:
La 0.000 0.000 0.000
Pm 0.156 0.830 0.326
Pm 0.170 0.326 0.496
Pm 0.170 0.674 0.844
Pm 0.326 0.156 0.830
Pm 0.326 0.496 0.170
Pm 0.496 0.170 0.326
Pm 0.504 0.830 0.674
Pm 0.674 0.504 0.830
Pm 0.674 0.844 0.170
Pm 0.830 0.326 0.156
Pm 0.830 0.674 0.504
Pm 0.844 0.170 0.674
Si 0.000 0.000 0.500
Si 0.000 0.500 0.000
Si 0.500 0.000 0.000
Si 0.500 0.500 0.500

Calculated values
The symmetry is Im-3. Its total energy is -4.953 eV per atom.

[6]
Compound: NaTiNi2Cl
Source: Alexandria
Functional: PBE
Structure: optimized geometry

Cell lengths 4.524, 4.524, 4.878 Å; angles 90.00, 90.00, 90.00 degrees
Fractional positions:
Na 0.000 0.000 0.000
Ti 0.500 0.500 0.500
Ni 0.000 0.500 0.500
Ni 0.500 0.000 0.500
Cl 0.500 0.500 0.000

Calculated values
The symmetry is P4/mmm. Its total energy is -4.327 eV per atom.

[7]
Compound: CuRhF2
Source: Alexandria
Functional: PBE
Structure: optimized geometry

Cell lengths 5.095, 5.095, 5.095 Å; angles 107.14, 107.14, 114.25 degrees
Fractional positions:
Cu 0.000 0.000 0.000
Cu 0.750 0.250 0.500
Rh 0.250 0.750 0.500
Rh 0.500 0.500 0.000
F 0.094 0.625 0.969
F 0.375 0.344 0.469
F 0.656 0.125 0.031
F 0.875 0.906 0.531

Calculated values
The symmetry is I-42d. Its total energy is -4.186 eV per atom. The relative energy among the computed polymorphs is 38.9 kJ per mole of atoms.

[8]
Compound: CdInP2S
Source: Alexandria
Functional: PBE
Structure: optimized geometry

Cell lengths 5.072, 5.072, 5.124 Å; angles 90.00, 90.00, 90.00 degrees
Fractional positions:
Cd 0.000 0.000 0.000
In 0.500 0.500 0.500
P 0.000 0.500 0.000
P 0.500 0.000 0.000
S 0.000 0.000 0.500

Calculated values
The symmetry is P4/mmm. Its total energy is -2.819 eV per atom. The relative energy among the computed polymorphs is 0.0 kJ per mole of atoms.

[9]
Compound: ZnPt2C
Source: Alexandria
Functional: PBE
Structure: optimized geometry

Cell lengths 4.229, 4.229, 4.229 Å; angles 60.00, 60.00, 60.00 degrees
Fractional positions:
Zn 0.000 0.000 0.000
Pt 0.250 0.250 0.250
Pt 0.750 0.750 0.750
C 0.500 0.500 0.500

Calculated values
The symmetry is Fm-3m. Its total energy is -4.676 eV per atom. The relative energy among the computed polymorphs is 57.5 kJ per mole of atoms. Its formation energy is 3.88 eV per formula unit.

[10]
Compound: EuHoInPt
Source: Alexandria
Functional: PBE
Structure: optimized geometry

Cell lengths 5.197, 5.197, 5.197 Å; angles 60.00, 60.00, 60.00 degrees
Fractional positions:
Eu 0.000 0.000 0.000
Ho 0.500 0.500 0.500
In 0.250 0.250 0.250
Pt 0.750 0.750 0.750

Calculated values
The symmetry is F-43m. Its total energy is -6.556 eV per atom. Its formation energy is -2.59 eV per formula unit.

[11]
Compound: CePm2PuO8
Source: Alexandria
Functional: PBE
Structure: optimized geometry

Cell lengths 3.886, 5.510, 7.722 Å; angles 86.97, 89.67, 86.45 degrees
Fractional positions:
Ce 0.000 0.000 0.000
Pm 0.499 0.492 0.751
Pm 0.501 0.508 0.249
Pu 0.000 0.000 0.500
O 0.023 0.246 0.747
O 0.029 0.221 0.282
O 0.460 0.776 0.490
O 0.484 0.757 0.986
O 0.516 0.243 0.014
O 0.540 0.224 0.510
O 0.971 0.779 0.718
O 0.977 0.754 0.253

Calculated values
The symmetry is P-1. Its total energy is -8.935 eV per atom.

[12]
Compound: CaNdDy2
Source: Alexandria
Functional: PBE
Structure: optimized geometry

Cell lengths 5.112, 5.112, 5.207 Å; angles 90.00, 90.00, 90.00 degrees
Fractional positions:
Ca 0.000 0.000 0.000
Nd 0.500 0.500 0.000
Dy 0.000 0.500 0.500
Dy 0.500 0.000 0.500

Calculated values
The symmetry is P4/mmm. Its total energy is -3.878 eV per atom. The relative energy among the computed polymorphs is 5.1 kJ per mole of atoms. Its formation energy is 0.46 eV per formula unit.

Number 1: total magnetic moment 0.0 Bohr magnetons per cell. Number 2: total magnetic moment 1.4 Bohr magnetons per cell. Number 3: total magnetic moment 1.0 Bohr magnetons per cell. Number 4: total magnetic moment 2.1 Bohr magnetons per cell. Number 5: total magnetic moment 0.0 Bohr magnetons per cell. Number 6: total magnetic moment 0.0 Bohr magnetons per cell. Number 7: total magnetic moment 4.2 Bohr magnetons per cell. Number 8: total magnetic moment 1.9 Bohr magnetons per cell. Number 9: total magnetic moment 0.0 Bohr magnetons per cell. Number 10: total magnetic moment 7.0 Bohr magnetons per cell. Number 11: total magnetic moment 2.0 Bohr magnetons per cell. Number 12: total magnetic moment 0.0 Bohr magnetons per cell.